1.
# Te4PdPtAu | Alexandria via LeMat-Bulk | GGA-PBE | optimized geometry
# Raw formation energy: -0.2851 eV/atom
data_Te4PdPtAu
_space_group_name_H-M_alt 'I m m a'
_space_group_IT_number 74
_space_group_name_Hall '-I 2b 2'
_cell_length_a 8.068
_cell_length_b 8.182
_cell_length_c 11.565
_cell_angle_alpha 90.00
_cell_angle_beta 90.00
_cell_angle_gamma 90.00
loop_
_atom_site_label
_atom_site_fract_x
_atom_site_fract_y
_atom_site_fract_z
Te1 0.000 0.027 0.234
Te2 0.223 0.250 0.013
Pd1 0.250 0.250 0.250
Pt1 0.000 0.000 0.000
Au1 0.000 0.250 0.631

2.
# TiPdPtAu | Alexandria via LeMat-Bulk | GGA-PBE | optimized geometry
# Calculated total energy: -6.2327 eV per atom
data_TiPdPtAu
_space_group_name_H-M_alt 'I -4 m 2'
_space_group_IT_number 119
_space_group_name_Hall 'I -4 -2'
_cell_length_a 4.004
_cell_length_b 4.004
_cell_length_c 7.912
_cell_angle_alpha 90.00
_cell_angle_beta 90.00
_cell_angle_gamma 90.00
loop_
_atom_site_label
_atom_site_fract_x
_atom_site_fract_y
_atom_site_fract_z
Ti1 0.000 0.000 0.000
Pd1 0.000 0.500 0.250
Pt1 0.000 0.500 0.750
Au1 0.000 0.000 0.500

3.
# TiPd2PtAu | Alexandria via LeMat-Bulk | GGA-PBE | optimized geometry
# Calculated total energy: -5.8873 eV per atom
data_TiPd2PtAu
_space_group_name_H-M_alt 'P 1 21/m 1'
_space_group_IT_number 11
_space_group_name_Hall '-P 2yb'
_cell_length_a 6.471
_cell_length_b 4.202
_cell_length_c 6.671
_cell_angle_alpha 90.00
_cell_angle_beta 103.57
_cell_angle_gamma 90.00
loop_
_atom_site_label
_atom_site_fract_x
_atom_site_fract_y
_atom_site_fract_z
Ti1 0.207 0.250 0.093
Pd1 0.455 0.750 0.599
Pd2 0.481 0.250 0.857
Pt1 0.161 0.750 0.848
Au1 0.149 0.250 0.514